Compound: LiFeF3
Source: the Alexandria database
Functional: PBE+U
Structure: relaxed

Properties
As for the calculated density: 3.7 g/cm3. The calculation puts the volume at 108.9 Å³/cell. The crystal system is orthorhombic. The polymorph energy (0 for the lowest one) comes out at 0.020 eV/atom.

Lattice parameters (Å, degrees): 5.1392 5.1344 4.8235 90.00 90.00 121.21
Positions (direct):
Li  0.9961  0.0044  0.4318
Li  0.0038  0.9956  0.9318
Fe  0.3334  0.6668  0.9317
Fe  0.6666  0.3332  0.4317
F  0.3229  0.0082  0.6778
F  0.0081  0.3234  0.6854
F  0.3112  0.3110  0.1816
F  0.6888  0.6890  0.6816
F  0.9919  0.6766  0.1854
F  0.6771  0.9918  0.1778